No. 1
DFT (PBE) results for an optimized crystal structure of Co2Pd2Rh.

Properties
The value obtained for the relative energy among the computed polymorphs is 0.000 eV per atom.

a = 6.228 Å, b = 6.228 Å, c = 3.665 Å
α = 90.00°, β = 90.00°, γ = 90.00°
Space group P4/mbm (No. 127)
Unique sites:
Co 0.127 0.373 0.000 x4
Pd 0.170 0.670 0.500 x4
Rh 0.000 0.000 0.000 x2

***

No. 2
DFT (PBE) results for an optimized crystal structure of SrFePb2.

Properties
The value obtained for the calculated total energy is -3.9618 eV/atom.

a = 7.316 Å, b = 7.316 Å, c = 7.316 Å
α = 90.00°, β = 90.00°, γ = 90.00°
Space group Fm-3m (No. 225)
Unique sites:
Sr 0.000 0.000 0.000 x4
Fe 0.000 0.000 0.500 x4
Pb 0.250 0.250 0.250 x8

***

No. 3
DFT (PBE) results for an optimized crystal structure of SnBi2Pb6.

Properties
The value obtained for the relative energy among the computed polymorphs is 0.011 eV per atom.

a = 16.586 Å, b = 3.472 Å, c = 11.866 Å
α = 90.00°, β = 123.10°, γ = 90.00°
Space group C2/m (No. 12)
Unique sites:
Sn 0.000 0.000 0.000 x2
Bi 0.153 0.500 0.293 x4
Pb 0.048 0.000 0.750 x4
Pb 0.126 0.500 0.554 x4
Pb 0.226 0.000 0.100 x4

***

No. 4
DFT (PBE) results for an optimized crystal structure of Na2PaFeN4.

Properties
For the uncorrected formation energy, the calculation gives -0.314 eV/atom.

a = 6.290 Å, b = 6.290 Å, c = 5.977 Å
α = 90.00°, β = 90.00°, γ = 90.00°
Space group I-42m (No. 121)
Unique sites:
Na 0.000 0.500 0.250 x4
Pa 0.000 0.000 0.000 x2
Fe 0.000 0.000 0.500 x2
N 0.142 0.142 0.711 x8

***

No. 5
DFT (PBE) results for an optimized crystal structure of BaCaTc3.

Properties
The value obtained for the relative energy among the computed polymorphs is 0.000 eV per atom.

a = 5.146 Å, b = 5.146 Å, c = 5.146 Å
α = 90.00°, β = 90.00°, γ = 90.00°
Space group Pm-3m (No. 221)
Unique sites:
Ba 0.000 0.000 0.000 x1
Ca 0.500 0.500 0.500 x1
Tc 0.000 0.500 0.500 x3

***

No. 6
DFT (PBE) results for an optimized crystal structure of USbHRh.

Properties
The value obtained for the calculated total energy is -6.9785 eV/atom.

a = 4.4894 Å, b = 4.4894 Å, c = 3.8878 Å
α = 90.00°, β = 90.00°, γ = 120.00°
Space group P3m1 (No. 156)
Unique sites:
U 0.0000 0.0000 0.0000 x1
Sb 0.3333 0.6667 0.5161 x1
H 0.6667 0.3333 0.9420 x1
Rh 0.6667 0.3333 0.3952 x1

***

No. 7
DFT (PBE) results for an optimized crystal structure of Pm6PrTm8.

Properties
The value obtained for the calculated total energy is -4.4731 eV/atom.

a = 9.0325 Å, b = 9.0325 Å, c = 20.8021 Å
α = 90.00°, β = 90.00°, γ = 120.00°
Space group R-3 (No. 148, hexagonal axes)
Unique sites:
Pm 0.0627 0.2473 0.2106 x18
Pr 0.0000 0.0000 0.5000 x3
Tm 0.0000 0.0000 0.0764 x6
Tm 0.0798 0.5554 0.3084 x18

***

No. 8
DFT (PBE) results for an optimized crystal structure of SrTePb2.

Properties
For the uncorrected formation energy, the calculation gives -0.333 eV/atom.

a = 4.475 Å, b = 4.475 Å, c = 6.791 Å
α = 90.00°, β = 90.00°, γ = 90.00°
Space group P4/mmm (No. 123)
Unique sites:
Sr 0.000 0.000 0.000 x1
Te 0.000 0.000 0.500 x1
Pb 0.500 0.500 0.275 x2

***

No. 9
DFT (PBE) results for an optimized crystal structure of PmSmGdSn.

Properties
The value obtained for the calculated total energy is -7.1445 eV/atom.

a = 7.785 Å, b = 7.785 Å, c = 7.785 Å
α = 90.00°, β = 90.00°, γ = 90.00°
Space group F-43m (No. 216)
Unique sites:
Pm 0.000 0.000 0.000 x4
Sm 0.250 0.250 0.250 x4
Gd 0.250 0.250 0.750 x4
Sn 0.000 0.000 0.500 x4

***

No. 10
DFT (PBE) results for an optimized crystal structure of PmInBi.

Properties
The value obtained for the relative energy among the computed polymorphs is 0.198 eV per atom.

a = 5.4624 Å, b = 5.4624 Å, c = 3.4812 Å
α = 90.00°, β = 90.00°, γ = 120.00°
Space group P3m1 (No. 156)
Unique sites:
Pm 0.0000 0.0000 0.0000 x1
In 0.3333 0.6667 0.4972 x1
Bi 0.6667 0.3333 0.5026 x1

***

No. 11
DFT (PBE) results for an optimized crystal structure of BePdW.

Properties
The value obtained for the relative energy among the computed polymorphs is 0.123 eV per atom.

a = 15.102 Å, b = 3.891 Å, c = 2.780 Å
α = 90.00°, β = 97.55°, γ = 90.00°
Space group Cm (No. 8)
Unique sites:
Be 0.000 0.000 0.000 x2
Be 0.119 0.000 0.582 x2
Pd 0.103 0.500 0.074 x2
Pd 0.244 0.000 0.172 x2
W 0.337 0.500 0.726 x2
W 0.437 0.000 0.461 x2

***

No. 12
DFT (PBE) results for an optimized crystal structure of Fe6ReNi23.

Properties
The value obtained for the calculated total energy is -6.4716 eV/atom.

a = 7.091 Å, b = 7.091 Å, c = 13.910 Å
α = 90.00°, β = 90.00°, γ = 90.00°
Space group I4/mmm (No. 139)
Unique sites:
Fe 0.000 0.000 0.250 x4
Fe 0.246 0.246 0.000 x8
Re 0.000 0.000 0.500 x2
Ni 0.000 0.000 0.000 x2
Ni 0.000 0.252 0.127 x16
Ni 0.000 0.255 0.372 x16
Ni 0.000 0.500 0.000 x4
Ni 0.250 0.250 0.250 x8